# Y4MnTe

Crystalline Y4MnTe at its relaxed geometry (PBE, Alexandria via LeMat-Bulk).

Geometry as extended XYZ:
```
6
Lattice="-0.963 -6.185 1.062 -5.911 -2.313 0.148 -2.063 -3.744 -4.695" Properties=species:S:1:pos:R:3 pbc="T T T"
Y -6.288 -5.751 -1.238
Mn -6.702 -9.182 -2.614
Te 0.000 0.000 0.000
Y -3.839 -7.668 -0.786
Y -4.383 -6.459 -3.635
Y -3.362 -4.606 -1.311
```

The density of states at the Fermi level comes out at 9.12 states/eV per cell. The uncorrected formation energy is 0.430 eV/atom.